[1]
## PmUCN (PBE)

Data for crystalline PmUCN at its relaxed geometry.

a = 3.563 Å, b = 3.563 Å, c = 6.135 Å
α = 73.12°, β = 106.88°, γ = 120.00°
Positions (direct):
Pm 0.594 0.383 0.615
U 0.095 0.882 0.120
C 0.361 0.617 0.917
N 0.828 0.149 0.318

Symmetry: R3m
ΔE_f (raw) in meV per atom: -819.2

=====

[2]
## RbAgSn2 (PBE)

Data for crystalline RbAgSn2 at its relaxed geometry.

a = 5.422 Å, b = 5.422 Å, c = 5.422 Å
α = 60.00°, β = 60.00°, γ = 60.00°
Positions (direct):
Rb 0.000 0.000 0.000
Sn 0.250 0.250 0.250
Sn 0.750 0.750 0.750
Ag 0.500 0.500 0.500

Symmetry: Fm-3m
Energy of formation in meV per atom: 227.9
Distance to the lowest polymorph of the same formula in eV per formula unit: 1.545

=====

[3]
## La3Hg2Rh3 (PBE)

Data for crystalline La3Hg2Rh3 at its relaxed geometry.

a = 6.129 Å, b = 8.482 Å, c = 8.482 Å
α = 120.00°, β = 90.00°, γ = 90.00°
Positions (direct):
La 0.750 0.285 0.000
La 0.750 0.715 0.715
La 0.750 0.000 0.285
La 0.250 0.715 0.000
La 0.250 0.285 0.285
La 0.250 0.000 0.715
Hg 0.000 0.333 0.667
Hg 0.500 0.667 0.333
Hg 0.000 0.667 0.333
Hg 0.500 0.333 0.667
Rh 0.750 0.625 0.000
Rh 0.750 0.375 0.375
Rh 0.750 0.000 0.625
Rh 0.250 0.375 0.000
Rh 0.250 0.625 0.625
Rh 0.250 0.000 0.375

Symmetry: P6_3/mcm
Energy of formation in meV per atom: -535.9

=====

[4]
## Ba2CdIr (PBE)

Data for crystalline Ba2CdIr at its relaxed geometry.

a = 5.423 Å, b = 5.423 Å, c = 5.423 Å
α = 60.00°, β = 60.00°, γ = 60.00°
Positions (direct):
Ir 0.750 0.750 0.750
Ba 0.000 0.000 0.000
Ba 0.250 0.250 0.250
Cd 0.500 0.500 0.500

Symmetry: F-43m
Energy of formation in meV per atom: 171.3

=====

Number 1: total DFT energy (no corrections) -9.22 eV/atom. Number 2: total DFT energy (no corrections) -2.73 eV/atom. Number 3: total DFT energy (no corrections) -5.22 eV/atom. Number 4: total DFT energy (no corrections) -3.23 eV/atom.